(1)
Below is a geometry-optimized La5Pm4Sm3 structure, with properties calculated at the PBE level.

a b c (Å): 9.7462 9.7462 9.0380
angles (deg): 117.40 117.40 35.19
Last column: nearest neighbours and their distance in Å.
Element x y z (fractional)
La1 0.0000 0.0000 0.0000  4 Sm 2.95-3.00, 2 Pm 3.00
La2 0.3339 0.3339 0.0994  2 Sm 3.49-3.61, 3 Pm 3.62-3.71, 1 La 3.86
La3 0.3943 0.3943 0.5722  2 Sm 3.39-3.66, 4 Pm 3.51-3.70
La4 0.6057 0.6057 0.4278  2 Sm 3.39-3.66, 4 Pm 3.51-3.70
La5 0.6661 0.6661 0.9006  2 Sm 3.49-3.61, 3 Pm 3.62-3.71, 1 La 3.86
Pm1 0.0316 0.0316 0.7043  1 La 3.00, 1 Pm 3.29
Pm2 0.1998 0.1998 0.6460  1 Pm 3.41, 3 La 3.51-3.62, 3 Sm 3.51-3.68
Pm3 0.8002 0.8002 0.3540  1 Pm 3.41, 3 La 3.51-3.62, 3 Sm 3.51-3.68
Pm4 0.9684 0.9684 0.2957  1 La 3.00, 1 Pm 3.29
Sm1 0.1828 0.1828 0.2231  1 La 3.00
Sm2 0.5000 0.5000 0.0000  2 La 2.95
Sm3 0.8172 0.8172 0.7769  1 La 3.00

Summary:
Final energy: -4.600 eV per atom
Symmetry: C2/m
D(E_F): 19.06 states/eV/cell
Total magnetic moment: 0.000 μB per atom



(2)
Below is a geometry-optimized La6PmSm structure, with properties calculated at the PBE level.

a b c (Å): 5.2323 5.2323 10.4656
angles (deg): 90.00 90.00 90.00
Last column: nearest neighbours and their distance in Å.
Element x y z (fractional)
La1 0.0000 0.0000 0.0000  4 Pm 3.70, 8 La 3.70
La2 0.0000 0.0000 0.5000  8 La 3.70, 4 Sm 3.70
La3 0.0000 0.5000 0.2501  8 La 3.70, 2 Sm 3.70, 2 Pm 3.70
La4 0.0000 0.5000 0.7499  8 La 3.70, 2 Sm 3.70, 2 Pm 3.70
La5 0.5000 0.0000 0.2501  8 La 3.70, 2 Sm 3.70, 2 Pm 3.70
La6 0.5000 0.0000 0.7499  8 La 3.70, 2 Sm 3.70, 2 Pm 3.70
Pm1 0.5000 0.5000 0.0000  12 La 3.70
Sm1 0.5000 0.5000 0.5000  12 La 3.70

Summary:
Final energy: -4.874 eV per atom
Symmetry: P4/mmm
D(E_F): 12.49 states/eV/cell
Total magnetic moment: 0.000 μB per atom